# 1
# K5Rb3As3

A geometry-optimized K5Rb3As3 structure (PBE-GGA, Alexandria).

```
data_K5Rb3As3
_cell_length_a 10.3435
_cell_length_b 10.3435
_cell_length_c 6.7620
_cell_angle_alpha 90.00
_cell_angle_beta 90.00
_cell_angle_gamma 120.00
_space_group_name_H-M_alt 'P -6 2 m'
_space_group_IT_number 189
_space_group_name_Hall 'P -6 -2'
loop_
_atom_site_label
_atom_site_fract_x
_atom_site_fract_y
_atom_site_fract_z
_atom_site_occupancy
K1 0.0000 0.7295 0.0000 1
K2 0.3333 0.6667 0.0000 1
Rb1 0.0000 0.3605 0.5000 1
As1 0.0000 0.3657 0.0000 1
```

Output
Its crystal system is hexagonal. The total DFT energy (no corrections) is -24.9 eV per cell. The calculation puts the formation energy from the elements at -0.233 eV per atom. Its total magnetization is 1.1 Bohr magnetons per cell.

***

# 2
# KRbAs2

A geometry-optimized KRbAs2 structure (PBE-GGA, Alexandria).

```
data_KRbAs2
_cell_length_a 9.517
_cell_length_b 9.517
_cell_length_c 5.701
_cell_angle_alpha 90.00
_cell_angle_beta 90.00
_cell_angle_gamma 90.00
_space_group_name_H-M_alt 'I -4 2 d'
_space_group_IT_number 122
_space_group_name_Hall 'I -4 2bw'
loop_
_atom_site_label
_atom_site_fract_x
_atom_site_fract_y
_atom_site_fract_z
_atom_site_occupancy
K1 0.000 0.000 0.000 1
Rb1 0.000 0.000 0.500 1
As1 0.242 0.250 0.125 1
```

Output
Its crystal system is tetragonal. Its polymorph energy (0 for the lowest one) is 0.0000 eV/atom. The total DFT energy (no corrections) is -43.9 eV per cell. The calculation puts the formation energy from the elements at 0.096 eV per atom. Its total magnetization is 0.0 Bohr magnetons per cell.

***

# 3
# KRb3As

A geometry-optimized KRb3As structure (PBE-GGA, Alexandria).

```
data_KRb3As
_cell_length_a 7.288
_cell_length_b 7.288
_cell_length_c 7.288
_cell_angle_alpha 90.00
_cell_angle_beta 90.00
_cell_angle_gamma 90.00
_space_group_name_H-M_alt 'P m -3 m'
_space_group_IT_number 221
_space_group_name_Hall '-P 4 2 3'
loop_
_atom_site_label
_atom_site_fract_x
_atom_site_fract_y
_atom_site_fract_z
_atom_site_occupancy
K1 0.000 0.000 0.000 1
Rb1 0.000 0.000 0.500 1
As1 0.500 0.500 0.500 1
```

Output
Its crystal system is cubic. Its polymorph energy (0 for the lowest one) is 0.6706 eV/atom. The total DFT energy (no corrections) is -5.7 eV per cell. The calculation puts the formation energy from the elements at 0.584 eV per atom. Its total magnetization is 1.0 Bohr magnetons per cell.

***

# 4
# KRbAs

A geometry-optimized KRbAs structure (PBE-GGA, Alexandria).

```
data_KRbAs
_cell_length_a 4.437
_cell_length_b 4.437
_cell_length_c 11.318
_cell_angle_alpha 90.00
_cell_angle_beta 90.00
_cell_angle_gamma 90.00
_space_group_name_H-M_alt 'I 4 m m'
_space_group_IT_number 107
_space_group_name_Hall 'I 4 -2'
loop_
_atom_site_label
_atom_site_fract_x
_atom_site_fract_y
_atom_site_fract_z
_atom_site_occupancy
K1 0.000 0.000 0.000 1
Rb1 0.000 0.000 0.704 1
As1 0.000 0.000 0.365 1
```

Output
Its crystal system is tetragonal. Its polymorph energy (0 for the lowest one) is 0.1761 eV/atom. The total DFT energy (no corrections) is -14.3 eV per cell. The calculation puts the formation energy from the elements at -0.143 eV per atom. Its total magnetization is 0.9 Bohr magnetons per cell.

***

# 5
# K2RbAs

A geometry-optimized K2RbAs structure (PBE-GGA, Alexandria).

```
data_K2RbAs
_cell_length_a 5.7481
_cell_length_b 5.7481
_cell_length_c 18.2476
_cell_angle_alpha 90.00
_cell_angle_beta 90.00
_cell_angle_gamma 120.00
_space_group_name_H-M_alt 'R 3 m'
_space_group_IT_number 160
_space_group_name_Hall 'R 3 -2"'
loop_
_atom_site_label
_atom_site_fract_x
_atom_site_fract_y
_atom_site_fract_z
_atom_site_occupancy
K1 0.0000 0.0000 0.0000 1
K2 0.0000 0.0000 0.2555 1
Rb1 0.0000 0.0000 0.7978 1
As1 0.0000 0.0000 0.5956 1
```

Output
Its crystal system is trigonal. The total DFT energy (no corrections) is -26.4 eV per cell. The calculation puts the formation energy from the elements at -0.250 eV per atom. Its total magnetization is 0.0 Bohr magnetons per cell.

***

# 6
# K12Rb6As

A geometry-optimized K12Rb6As structure (PBE-GGA, Alexandria).

```
data_K12Rb6As
_cell_length_a 15.9362
_cell_length_b 15.9362
_cell_length_c 20.1780
_cell_angle_alpha 90.00
_cell_angle_beta 90.00
_cell_angle_gamma 120.00
_space_group_name_H-M_alt 'R -3'
_space_group_IT_number 148
_space_group_name_Hall '-R 3'
loop_
_atom_site_label
_atom_site_fract_x
_atom_site_fract_y
_atom_site_fract_z
_atom_site_occupancy
K1 0.0285 0.4337 0.1972 1
K2 0.0551 0.8642 0.9139 1
Rb1 0.0213 0.1819 0.3143 1
As1 0.0000 0.0000 0.0000 1
```

Output
Its crystal system is trigonal. The total DFT energy (no corrections) is -72.1 eV per cell. The calculation puts the formation energy from the elements at -0.021 eV per atom. Its total magnetization is 0.0 Bohr magnetons per cell.

***

# 7
# K2RbAs2

A geometry-optimized K2RbAs2 structure (PBE-GGA, Alexandria).

```
data_K2RbAs2
_cell_length_a 10.026
_cell_length_b 10.026
_cell_length_c 3.199
_cell_angle_alpha 90.00
_cell_angle_beta 90.00
_cell_angle_gamma 90.00
_space_group_name_H-M_alt 'P 4/m b m'
_space_group_IT_number 127
_space_group_name_Hall '-P 4 2ab'
loop_
_atom_site_label
_atom_site_fract_x
_atom_site_fract_y
_atom_site_fract_z
_atom_site_occupancy
K1 0.121 0.379 0.000 1
Rb1 0.000 0.000 0.000 1
As1 0.176 0.676 0.500 1
```

Output
Its crystal system is tetragonal. Its polymorph energy (0 for the lowest one) is 0.1810 eV/atom. The total DFT energy (no corrections) is -26.5 eV per cell. The calculation puts the formation energy from the elements at -0.158 eV per atom. Its total magnetization is 0.0 Bohr magnetons per cell.

***

# 8
# KRb2As2

A geometry-optimized KRb2As2 structure (PBE-GGA, Alexandria).

```
data_KRb2As2
_cell_length_a 12.176
_cell_length_b 6.847
_cell_length_c 9.633
_cell_angle_alpha 90.00
_cell_angle_beta 102.81
_cell_angle_gamma 90.00
_space_group_name_H-M_alt 'C 1 2/c 1'
_space_group_IT_number 15
loop_
_space_group_symop_operation_xyz
'x,y,z'
'-x,-y,-z'
'-x,y,-z+1/2'
'x,-y,z+1/2'
'x+1/2,y+1/2,z'
'-x+1/2,-y+1/2,-z'
'-x+1/2,y+1/2,-z+1/2'
'x+1/2,-y+1/2,z+1/2'
loop_
_atom_site_label
_atom_site_fract_x
_atom_site_fract_y
_atom_site_fract_z
_atom_site_occupancy
K1 0.000 0.110 0.250 1
Rb1 0.152 0.347 0.646 1
As1 0.161 0.171 0.004 1
```

Output
Its crystal system is monoclinic. Its polymorph energy (0 for the lowest one) is 0.0000 eV/atom. The total DFT energy (no corrections) is -56.0 eV per cell. The calculation puts the formation energy from the elements at -0.336 eV per atom. Its total magnetization is 4.2 Bohr magnetons per cell.